Record 1
AcAl3Pd: optimized geometry, PBE.

Properties
Its space group is No. 62. For the energy of formation from the pure elements, the calculation gives -0.59 eV/atom. The density of states at the Fermi level comes out at 3.1 states/eV/f.u. The energy above the most stable polymorph in this dataset is 0.0704 eV/atom. The calculation puts the spin magnetization at 0.0 μB per formula unit. The energy is -0.17274 Ha/atom.

Lattice parameters (Å, degrees): 8.6490 4.3587 11.3835 90.00 90.00 90.00
Closest atoms and distances in Å follow each position.
Positions (direct):
Ac 0.1824 0.2500 0.0111  10 Al 3.25-3.60, 2 Pd 3.39
Ac 0.3176 0.7500 0.5111  10 Al 3.25-3.60, 2 Pd 3.39
Ac 0.6824 0.2500 0.4889  10 Al 3.25-3.60, 2 Pd 3.39
Ac 0.8176 0.7500 0.9889  10 Al 3.25-3.60, 2 Pd 3.39
Al 0.0581 0.2500 0.5878  3 Pd 2.64-2.67, 1 Al 2.74
Al 0.1223 0.7500 0.7833  2 Pd 2.47-2.56
Al 0.1409 0.7500 0.2245  2 Pd 2.67, 1 Al 2.74
Al 0.3591 0.2500 0.7245  2 Pd 2.67, 1 Al 2.74
Al 0.3777 0.2500 0.2833  2 Pd 2.47-2.56
Al 0.4419 0.7500 0.0878  3 Pd 2.64-2.67, 1 Al 2.74
Al 0.5581 0.2500 0.9122  3 Pd 2.64-2.67, 1 Al 2.74
Al 0.6223 0.7500 0.7167  2 Pd 2.47-2.56
Al 0.6409 0.7500 0.2755  2 Pd 2.67, 1 Al 2.74
Al 0.8591 0.2500 0.7755  2 Pd 2.67, 1 Al 2.74
Al 0.8777 0.2500 0.2167  2 Pd 2.47-2.56
Al 0.9419 0.7500 0.4122  3 Pd 2.64-2.67, 1 Al 2.74
Pd 0.0976 0.2500 0.3555  7 Al 2.47-2.67
Pd 0.4024 0.7500 0.8555  7 Al 2.47-2.67
Pd 0.5976 0.2500 0.1445  7 Al 2.47-2.67
Pd 0.9024 0.7500 0.6445  7 Al 2.47-2.67


Record 2
La3GeSb: optimized geometry, PBE.

Properties
Its space group is No. 221. The density of states at the Fermi level comes out at 5.1 states/eV/f.u. The energy above the most stable polymorph in this dataset is 0.3779 eV/atom. As for the formation energy from raw total energies: -0.4838 eV per atom. The calculation puts the spin magnetization at 0.0 μB per formula unit. The energy is -0.19066 Ha/atom.

Lattice parameters (Å, degrees): 5.6837 5.6837 5.6837 90.00 90.00 90.00
Closest atoms and distances in Å follow each position.
Positions (direct):
La 0.0000 0.0000 0.5000  2 Ge 2.84
La 0.0000 0.5000 0.0000  2 Ge 2.84
La 0.5000 0.0000 0.0000  2 Ge 2.84
Ge 0.0000 0.0000 0.0000  6 La 2.84
Sb 0.5000 0.5000 0.5000  12 La 4.02


Record 3
LiNd2Be3Ge4: optimized geometry, PBE.

Properties
Its space group is No. 115. For the energy of formation from the pure elements, the calculation gives -0.43 eV/atom. The density of states at the Fermi level comes out at 2.9 states/eV/f.u. The calculation puts the spin magnetization at 0.0 μB per formula unit. The energy is -0.16675 Ha/atom.

Lattice parameters (Å, degrees): 4.1609 4.1609 9.8152 90.00 90.00 90.00
Closest atoms and distances in Å follow each position.
Positions (direct):
Li 0.0000 0.0000 0.0000  4 Ge 2.48
Nd 0.0000 0.5000 0.7459  8 Ge 3.15-3.19, 6 Be 3.17-3.25, 2 Li 3.25
Nd 0.5000 0.0000 0.2541  8 Ge 3.15-3.19, 6 Be 3.17-3.25, 2 Li 3.25
Be 0.0000 0.5000 0.3731  5 Ge 2.30-2.42
Be 0.5000 0.0000 0.6269  5 Ge 2.30-2.42
Be 0.5000 0.5000 0.0000  4 Ge 2.48
Ge 0.0000 0.0000 0.5000  4 Be 2.42
Ge 0.0000 0.5000 0.1384  3 Be 2.30-2.48, 2 Li 2.48
Ge 0.5000 0.0000 0.8616  3 Be 2.30-2.48, 2 Li 2.48
Ge 0.5000 0.5000 0.5000  4 Be 2.42


Record 4
SrMgCl2: optimized geometry, PBE.

Properties
Its space group is No. 216. The energy above the most stable polymorph in this dataset is 0.5314 eV/atom. As for the formation energy from raw total energies: -0.9869 eV per atom. The calculation puts the spin magnetization at 0.0 μB per formula unit. The energy is -0.10030 Ha/atom.

Lattice parameters (Å, degrees): 5.4284 5.4284 5.4284 60.00 60.00 60.00
Closest atoms and distances in Å follow each position.
Positions (direct):
Sr 0.0000 0.0000 0.0000  4 Cl 3.32, 4 Mg 3.32
Mg 0.2500 0.2500 0.2500  4 Cl 3.32, 4 Sr 3.32
Cl 0.5000 0.5000 0.5000  4 Cl 3.32, 4 Mg 3.32
Cl 0.7500 0.7500 0.7500  4 Cl 3.32, 4 Sr 3.32


Record 5
LaAl2Tl: optimized geometry, PBE.

Properties
Its space group is No. 99. For the energy of formation from the pure elements, the calculation gives -0.15 eV/atom. The density of states at the Fermi level comes out at 3.3 states/eV/f.u. The energy above the most stable polymorph in this dataset is 0.1147 eV/atom. The calculation puts the spin magnetization at 0.0 μB per formula unit. The energy is -0.14142 Ha/atom.

Lattice parameters (Å, degrees): 3.6402 3.6402 7.3771 90.00 90.00 90.00
Closest atoms and distances in Å follow each position.
Positions (direct):
La 0.0000 0.0000 0.0000  5 Al 3.27-3.30, 4 Tl 3.49, 4 La 3.64
Al 0.0000 0.0000 0.5564  4 Al 2.84, 4 Tl 3.11
Al 0.5000 0.5000 0.7204  4 Al 2.84, 1 Tl 2.96
Tl 0.5000 0.5000 0.3195  5 Al 2.96-3.11


Record 6
Tb4B5C2: optimized geometry, PBE.

Properties
Its space group is No. 10. For the energy of formation from the pure elements, the calculation gives -0.22 eV/atom. The density of states at the Fermi level comes out at 4.2 states/eV/f.u. The calculation puts the spin magnetization at 0.0 μB per formula unit. The energy is -0.24319 Ha/atom.

Lattice parameters (Å, degrees): 6.6073 3.6353 6.6446 90.00 94.63 90.00
Closest atoms and distances in Å follow each position.
Positions (direct):
Tb 0.2252 0.0000 0.3941  8 B 2.62-2.86, 2 C 2.81
Tb 0.2376 0.0000 0.9241  4 B 2.50-2.63, 4 C 2.56-2.64
Tb 0.7624 0.0000 0.0759  4 B 2.50-2.63, 4 C 2.56-2.64
Tb 0.7748 0.0000 0.6059  8 B 2.62-2.86, 2 C 2.81
B 0.0994 0.5000 0.6929  1 C 1.61, 1 B 1.67
B 0.3496 0.5000 0.6694  2 B 1.56-1.67
B 0.5000 0.5000 0.5000  2 B 1.56
B 0.6504 0.5000 0.3306  2 B 1.56-1.67
B 0.9006 0.5000 0.3071  1 C 1.61, 1 B 1.67
C 0.0351 0.5000 0.1160  1 C 1.57, 1 B 1.61
C 0.9649 0.5000 0.8840  1 C 1.57, 1 B 1.61


Record 7
Zn2InReH: optimized geometry, PBE.

Properties
Its space group is No. 123. The density of states at the Fermi level comes out at 1.2 states/eV/f.u. The calculation puts the spin magnetization at 1.0 μB per formula unit. The energy is -0.13470 Ha/atom.

Lattice parameters (Å, degrees): 4.0063 4.0063 4.2537 90.00 90.00 90.00
Closest atoms and distances in Å follow each position.
Positions (direct):
Zn 0.0000 0.5000 0.0000  2 H 2.00
Zn 0.5000 0.0000 0.0000  2 H 2.00
In 0.0000 0.0000 0.5000  2 H 2.13
Re 0.5000 0.5000 0.5000  4 In 2.83, 8 Zn 2.92
H 0.0000 0.0000 0.0000  4 Zn 2.00, 2 In 2.13


Record 8
Nd5Ge5Pd2: optimized geometry, PBE.

Properties
Its space group is No. 12. For the energy of formation from the pure elements, the calculation gives -0.81 eV/atom. The density of states at the Fermi level comes out at 5.3 states/eV/f.u. The calculation puts the spin magnetization at 0.0 μB per formula unit. The energy is -0.20520 Ha/atom.

Lattice parameters (Å, degrees): 8.0860 8.0860 11.2336 128.98 128.98 31.42
Closest atoms and distances in Å follow each position.
Positions (direct):
Nd 0.0000 0.0000 0.0000  4 Pd 3.09, 6 Ge 3.14-3.35
Nd 0.1125 0.1125 0.4206  3 Pd 3.11-3.12, 7 Ge 3.14-3.27
Nd 0.1957 0.1957 0.8224  5 Ge 3.04-3.17, 1 Pd 3.15
Nd 0.8043 0.8043 0.1776  5 Ge 3.04-3.17, 1 Pd 3.15
Nd 0.8875 0.8875 0.5794  3 Pd 3.11-3.12, 7 Ge 3.14-3.27
Ge 0.2547 0.2547 0.3126  2 Pd 2.61, 1 Ge 2.92
Ge 0.4395 0.4395 0.1615  1 Pd 2.60
Ge 0.5000 0.5000 0.5000  4 Ge 2.92-3.27
Ge 0.5605 0.5605 0.8385  1 Pd 2.60
Ge 0.7453 0.7453 0.6874  2 Pd 2.61, 1 Ge 2.92
Pd 0.3582 0.3582 0.7468  3 Ge 2.60-2.61
Pd 0.6418 0.6418 0.2532  3 Ge 2.60-2.61


Record 9
Pr2Nd3Dy3: optimized geometry, PBE.

Properties
Its space group is No. 12. For the energy of formation from the pure elements, the calculation gives 0.09 eV/atom. The density of states at the Fermi level comes out at 12.6 states/eV/f.u. The energy above the most stable polymorph in this dataset is 0.0000 eV/atom. The calculation puts the spin magnetization at 0.0 μB per formula unit. The energy is -0.16969 Ha/atom.

Lattice parameters (Å, degrees): 8.6851 8.6851 6.1031 110.00 110.00 39.75
Closest atoms and distances in Å follow each position.
Positions (direct):
Pr 0.2493 0.2493 0.1845  5 Nd 3.48-3.84, 5 Dy 3.50-3.81, 2 Pr 3.72
Pr 0.7507 0.7507 0.8155  5 Nd 3.48-3.84, 5 Dy 3.50-3.81, 2 Pr 3.72
Nd 0.3681 0.3681 0.8134  1 Nd 3.36, 4 Pr 3.48-3.62, 3 Dy 3.59-3.65
Nd 0.5000 0.5000 0.5000  2 Nd 3.36, 4 Dy 3.55
Nd 0.6319 0.6319 0.1866  1 Nd 3.36, 4 Pr 3.48-3.62, 3 Dy 3.59-3.65
Dy 0.0000 0.0000 0.0000  2 Dy 3.39, 4 Nd 3.59
Dy 0.1284 0.1284 0.5794  1 Dy 3.39, 4 Pr 3.50-3.63, 3 Nd 3.55-3.65
Dy 0.8716 0.8716 0.4206  1 Dy 3.39, 4 Pr 3.50-3.63, 3 Nd 3.55-3.65


Record 10
ZrIrIN2: optimized geometry, PBE.

Properties
Its space group is No. 123. The density of states at the Fermi level comes out at 4.7 states/eV/f.u. The energy above the most stable polymorph in this dataset is 0.0261 eV/atom. As for the formation energy from raw total energies: 1.0887 eV per atom. The calculation puts the spin magnetization at 1.5 μB per formula unit. The energy is -0.22172 Ha/atom.

Lattice parameters (Å, degrees): 4.0789 4.0789 6.3242 90.00 90.00 90.00
Closest atoms and distances in Å follow each position.
Positions (direct):
Zr 0.0000 0.0000 0.0000  4 N 2.04
Ir 0.5000 0.5000 0.5000  4 I 2.88
I 0.0000 0.0000 0.5000  4 Ir 2.88, 2 Zr 3.16
N 0.0000 0.5000 0.0000  2 Zr 2.04
N 0.5000 0.0000 0.0000  2 Zr 2.04


Record 11
Ba3Sn4Pt: optimized geometry, PBE.

Properties
Its space group is No. 59. For the energy of formation from the pure elements, the calculation gives -0.64 eV/atom. The density of states at the Fermi level comes out at 5.2 states/eV/f.u. The calculation puts the spin magnetization at 0.0 μB per formula unit. The energy is -0.15137 Ha/atom.

Lattice parameters (Å, degrees): 6.5569 12.7226 6.5862 90.00 90.00 90.00
Closest atoms and distances in Å follow each position.
Positions (direct):
Ba 0.2500 0.0053 0.1751  1 Pt 3.28, 2 Sn 3.51-3.66
Ba 0.2500 0.4947 0.1751  1 Pt 3.28, 2 Sn 3.51-3.66
Ba 0.2500 0.7500 0.5471  2 Pt 3.38, 2 Sn 3.56
Ba 0.7500 0.2500 0.4529  2 Pt 3.38, 2 Sn 3.56
Ba 0.7500 0.5053 0.8249  1 Pt 3.28, 2 Sn 3.51-3.66
Ba 0.7500 0.9947 0.8249  1 Pt 3.28, 2 Sn 3.51-3.66
Sn 0.0092 0.2500 0.9776  1 Pt 2.81, 2 Sn 3.11
Sn 0.2500 0.1172 0.6628  1 Pt 2.76
Sn 0.2500 0.3828 0.6628  1 Pt 2.76
Sn 0.4908 0.2500 0.9776  1 Pt 2.81, 2 Sn 3.11
Sn 0.5092 0.7500 0.0224  1 Pt 2.81, 2 Sn 3.11
Sn 0.7500 0.6172 0.3372  1 Pt 2.76
Sn 0.7500 0.8828 0.3372  1 Pt 2.76
Sn 0.9908 0.7500 0.0224  1 Pt 2.81, 2 Sn 3.11
Pt 0.2500 0.2500 0.3310  4 Sn 2.76-2.81
Pt 0.7500 0.7500 0.6690  4 Sn 2.76-2.81


Record 12
Li6Ca3Cd20: optimized geometry, PBE.

Properties
Its space group is No. 225. For the energy of formation from the pure elements, the calculation gives -0.13 eV/atom. The density of states at the Fermi level comes out at 13.8 states/eV/f.u. The calculation puts the spin magnetization at 0.0 μB per formula unit. The energy is -0.05014 Ha/atom.

Lattice parameters (Å, degrees): 9.7075 9.7075 9.7075 60.00 60.00 60.00
Closest atoms and distances in Å follow each position.
Positions (direct):
Li 0.2309 0.2309 0.7691  8 Cd 2.72-2.74
Li 0.2309 0.7691 0.2309  8 Cd 2.72-2.74
Li 0.2309 0.7691 0.7691  8 Cd 2.72-2.74
Li 0.7691 0.2309 0.2309  8 Cd 2.72-2.74
Li 0.7691 0.2309 0.7691  8 Cd 2.72-2.74
Li 0.7691 0.7691 0.2309  8 Cd 2.72-2.74
Ca 0.2500 0.2500 0.2500  4 Cd 3.21
Ca 0.5000 0.5000 0.5000  12 Cd 3.37, 6 Li 3.69
Ca 0.7500 0.7500 0.7500  4 Cd 3.21
Cd 0.1148 0.1148 0.1148  3 Li 2.74
Cd 0.1148 0.1148 0.6556  3 Li 2.74
Cd 0.1148 0.6556 0.1148  3 Li 2.74
Cd 0.1529 0.5000 0.5000  2 Li 2.72, 1 Cd 2.97
Cd 0.1529 0.5000 0.8471  2 Li 2.72, 1 Cd 2.97
Cd 0.1529 0.8471 0.5000  2 Li 2.72, 1 Cd 2.97
Cd 0.3444 0.8852 0.8852  3 Li 2.74
Cd 0.5000 0.1529 0.5000  2 Li 2.72, 1 Cd 2.97
Cd 0.5000 0.1529 0.8471  2 Li 2.72, 1 Cd 2.97
Cd 0.5000 0.5000 0.1529  2 Li 2.72, 1 Cd 2.97
Cd 0.5000 0.5000 0.8471  2 Li 2.72, 1 Cd 2.97
Cd 0.5000 0.8471 0.1529  2 Li 2.72, 1 Cd 2.97
Cd 0.5000 0.8471 0.5000  2 Li 2.72, 1 Cd 2.97
Cd 0.6556 0.1148 0.1148  3 Li 2.74
Cd 0.8471 0.1529 0.5000  2 Li 2.72, 1 Cd 2.97
Cd 0.8471 0.5000 0.1529  2 Li 2.72, 1 Cd 2.97
Cd 0.8471 0.5000 0.5000  2 Li 2.72, 1 Cd 2.97
Cd 0.8852 0.3444 0.8852  3 Li 2.74
Cd 0.8852 0.8852 0.3444  3 Li 2.74
Cd 0.8852 0.8852 0.8852  3 Li 2.74